A plane-wave DFT calculation with PBE was carried out for a relaxed La3Mg3In2Pd crystal.

Calculated values
The symmetry is No. 189. For the total magnetization, the calculation gives 0.00 μB/atom. The calculation puts the total energy at -3.83 eV per atom.

Lattice parameters (Å, degrees): 7.6994 7.6994 4.7621 90.00 90.00 120.00
Element x y z (fractional)
Mg  0.7715  0.0000  0.5000
Mg  0.0000  0.7715  0.5000
La  0.0000  0.4015  0.0000
In  0.3333  0.6667  0.5000
In  0.6667  0.3333  0.5000
La  0.5985  0.5985  0.0000
Pd  0.0000  0.0000  0.0000
Mg  0.2285  0.2285  0.5000
La  0.4015  0.0000  0.0000

A plane-wave DFT calculation with PBE was carried out for a relaxed TbTmU crystal.

Calculated values
The symmetry is No. 216. For the total magnetization, the calculation gives 1.20 μB/atom. The calculation puts the total energy at -5.53 eV per atom. As for the relative energy among the computed polymorphs: 0.0 kJ/mol of atoms.

Lattice parameters (Å, degrees): 5.2709 5.2709 5.2709 60.00 60.00 60.00
Element x y z (fractional)
Tb  0.2500  0.2500  0.2500
Tm  0.0000  0.0000  0.0000
U  0.7500  0.7500  0.7500

A plane-wave DFT calculation with PBE was carried out for a relaxed NaGaNiSn crystal.

Calculated values
The symmetry is No. 216. For the total magnetization, the calculation gives 0.00 μB/atom. The calculation puts the total energy at -3.46 eV per atom. As for the relative energy among the computed polymorphs: 0.0 kJ/mol of atoms.

Lattice parameters (Å, degrees): 4.6289 4.6289 4.6289 60.00 60.00 60.00
Element x y z (fractional)
Ga  0.5000  0.5000  0.5000
Sn  0.0000  0.0000  0.0000
Ni  0.2500  0.2500  0.2500
Na  0.7500  0.7500  0.7500